Computed, not measured: crystalline Li2IrWO6 at its relaxed geometry at the PBE+U level of DFT.

total magnetic moment	0.35	μB/cell
ρ	6.66	g/cm³
energy	-64.9	eV for the cell shown
N(E_F)	2.9	states/eV/f.u.
space group	P4mm, No. 99

a b c (Å): 5.5805 5.5805 3.8918
angles (deg): 90.00 90.00 90.00
Closest atoms and distances in Å follow each position.
Fractional coordinates of all 10 atoms:
Li1 0.0000 0.5000 0.0000  4 O 2.08
Li2 0.5000 0.0000 0.0000  4 O 2.08
Ir1 0.0000 0.0000 0.8194  6 O 1.94-2.02
W1 0.5000 0.5000 0.7947  6 O 1.86-2.03
O1 0.0000 0.0000 0.3204  2 Ir 1.94-1.95
O2 0.2561 0.2561 0.8327  1 W 1.93, 1 Ir 2.02, 2 Li 2.08
O3 0.2561 0.7439 0.8327  1 W 1.93, 1 Ir 2.02, 2 Li 2.08
O4 0.5000 0.5000 0.3162  2 W 1.86-2.03
O5 0.7439 0.2561 0.8327  1 W 1.93, 1 Ir 2.02, 2 Li 2.08
O6 0.7439 0.7439 0.8327  1 W 1.93, 1 Ir 2.02, 2 Li 2.08